# 1
# TmPu2Re | Alexandria | PBE | relaxed
data_TmPu2Re
_chemical_formula_sum 'Tm3 Pu6 Re3'
_cell_length_a 3.2645
_cell_length_b 3.2645
_cell_length_c 30.7706
_cell_angle_alpha 90.00
_cell_angle_beta 90.00
_cell_angle_gamma 120.00
_space_group_name_H-M_alt 'R -3 m'
_space_group_IT_number 166
_space_group_name_Hall '-R 3 2"'
loop_
_atom_site_label
_atom_site_type_symbol
_atom_site_fract_x
_atom_site_fract_y
_atom_site_fract_z
Tm1 Tm 0.0000 0.0000 0.0000
Pu1 Pu 0.0000 0.0000 0.2374
Re1 Re 0.0000 0.0000 0.5000
# volume: 23.7 Å³/atom
# theoretical density: 14.79 Mg/m³
# energy relative to the elements: 0.374 eV/atom

# 2
# Yb4MgCu | Alexandria | PBE | relaxed
data_Yb4MgCu
_chemical_formula_sum 'Yb64 Mg16 Cu16'
_cell_length_a 14.152
_cell_length_b 14.152
_cell_length_c 14.152
_cell_angle_alpha 90.00
_cell_angle_beta 90.00
_cell_angle_gamma 90.00
_space_group_name_H-M_alt 'F -4 3 m'
_space_group_IT_number 216
_space_group_name_Hall 'F -4 2 3'
loop_
_atom_site_label
_atom_site_type_symbol
_atom_site_fract_x
_atom_site_fract_y
_atom_site_fract_z
Yb1 Yb 0.000 0.000 0.191
Yb2 Yb 0.057 0.250 0.250
Yb3 Yb 0.098 0.098 0.598
Mg1 Mg 0.171 0.171 0.829
Cu1 Cu 0.109 0.109 0.391
# volume: 29.5 Å³/atom
# theoretical density: 7.31 Mg/m³
# energy relative to the elements: -0.194 eV/atom

# 3
# Ba2Pb2O5 | Alexandria | PBE | relaxed
data_Ba2Pb2O5
_chemical_formula_sum 'Ba4 Pb4 O10'
_cell_length_a 13.032
_cell_length_b 4.504
_cell_length_c 6.756
_cell_angle_alpha 90.00
_cell_angle_beta 112.87
_cell_angle_gamma 90.00
_space_group_name_H-M_alt 'C 1 2/m 1'
_space_group_IT_number 12
loop_
_space_group_symop_operation_xyz
'x,y,z'
'-x,-y,-z'
'-x,y,-z'
'x,-y,z'
'x+1/2,y+1/2,z'
'-x+1/2,-y+1/2,-z'
'-x+1/2,y+1/2,-z'
'x+1/2,-y+1/2,z'
loop_
_atom_site_label
_atom_site_type_symbol
_atom_site_fract_x
_atom_site_fract_y
_atom_site_fract_z
Ba1 Ba 0.119 0.000 0.307
Pb1 Pb 0.137 0.500 0.850
O1 O 0.000 0.500 0.000
O2 O 0.159 0.500 0.545
O3 O 0.175 0.000 0.955
# volume: 20.3 Å³/atom
# theoretical density: 6.99 Mg/m³
# E_form (uncorrected): -1.683 eV/atom
# energy above the most stable polymorph in this dataset: 13 meV per atom

# 4
# Rb2Au3I8 | Alexandria | PBE | relaxed
data_Rb2Au3I8
_chemical_formula_sum 'Rb4 Au6 I16'
_cell_length_a 15.818
_cell_length_b 9.375
_cell_length_c 8.379
_cell_angle_alpha 90.00
_cell_angle_beta 104.86
_cell_angle_gamma 90.00
_space_group_name_H-M_alt 'C 1 2/m 1'
_space_group_IT_number 12
loop_
_space_group_symop_operation_xyz
'x,y,z'
'-x,-y,-z'
'-x,y,-z'
'x,-y,z'
'x+1/2,y+1/2,z'
'-x+1/2,-y+1/2,-z'
'-x+1/2,y+1/2,-z'
'x+1/2,-y+1/2,z'
loop_
_atom_site_label
_atom_site_type_symbol
_atom_site_fract_x
_atom_site_fract_y
_atom_site_fract_z
Rb1 Rb 0.217 0.000 0.110
Au1 Au 0.000 0.205 0.500
Au2 Au 0.000 0.500 0.000
I1 I 0.070 0.276 0.818
I2 I 0.136 0.000 0.488
I3 I 0.161 0.500 0.220
# volume: 46.2 Å³/atom
# theoretical density: 4.91 Mg/m³
# E_form (uncorrected): -0.422 eV/atom

# 5
# IrRu2I | Alexandria | PBE | relaxed
data_IrRu2I
_chemical_formula_sum 'Ir4 Ru8 I4'
_cell_length_a 6.419
_cell_length_b 6.419
_cell_length_c 6.419
_cell_angle_alpha 90.00
_cell_angle_beta 90.00
_cell_angle_gamma 90.00
_space_group_name_H-M_alt 'F m -3 m'
_space_group_IT_number 225
_space_group_name_Hall '-F 4 2 3'
loop_
_atom_site_label
_atom_site_type_symbol
_atom_site_fract_x
_atom_site_fract_y
_atom_site_fract_z
Ir1 Ir 0.000 0.000 0.000
Ru1 Ru 0.250 0.250 0.250
I1 I 0.000 0.000 0.500
# volume: 16.5 Å³/atom
# theoretical density: 13.09 Mg/m³
# E_form (uncorrected): 0.987 eV/atom
# energy above the most stable polymorph in this dataset: 0 meV per atom

# 6
# Cu2Re2Si | Alexandria | PBE | relaxed
data_Cu2Re2Si
_chemical_formula_sum 'Cu4 Re4 Si2'
_cell_length_a 5.802
_cell_length_b 5.802
_cell_length_c 3.955
_cell_angle_alpha 90.00
_cell_angle_beta 90.00
_cell_angle_gamma 90.00
_space_group_name_H-M_alt 'P 4/m b m'
_space_group_IT_number 127
_space_group_name_Hall '-P 4 2ab'
loop_
_atom_site_label
_atom_site_type_symbol
_atom_site_fract_x
_atom_site_fract_y
_atom_site_fract_z
Cu1 Cu 0.137 0.363 0.000
Re1 Re 0.168 0.668 0.500
Si1 Si 0.000 0.000 0.000
# volume: 13.3 Å³/atom
# theoretical density: 13.16 Mg/m³
# E_form (uncorrected): 0.437 eV/atom
# energy above the most stable polymorph in this dataset: 0 meV per atom

# 7
# LiTlHgPb | Alexandria | PBE | relaxed
data_LiTlHgPb
_chemical_formula_sum 'Li1 Tl1 Hg1 Pb1'
_cell_length_a 3.572
_cell_length_b 3.572
_cell_length_c 7.962
_cell_angle_alpha 90.00
_cell_angle_beta 90.00
_cell_angle_gamma 90.00
_space_group_name_H-M_alt 'P 4 m m'
_space_group_IT_number 99
loop_
_space_group_symop_operation_xyz
'x,y,z'
'-y,x,z'
'-x,-y,z'
'y,-x,z'
'-x,y,z'
'y,x,z'
'x,-y,z'
'-y,-x,z'
loop_
_atom_site_label
_atom_site_type_symbol
_atom_site_fract_x
_atom_site_fract_y
_atom_site_fract_z
Li1 Li 0.000 0.000 0.000
Tl1 Tl 0.000 0.000 0.544
Hg1 Hg 0.500 0.500 0.824
Pb1 Pb 0.500 0.500 0.242
# volume: 25.4 Å³/atom
# theoretical density: 10.12 Mg/m³
# energy relative to the elements: -0.134 eV/atom
# energy above the most stable polymorph in this dataset: 0 meV per atom

# 8
# Er3In3Pd2 | Alexandria | PBE | relaxed
data_Er3In3Pd2
_chemical_formula_sum 'Er6 In6 Pd4'
_cell_length_a 17.224
_cell_length_b 4.582
_cell_length_c 4.809
_cell_angle_alpha 90.00
_cell_angle_beta 106.14
_cell_angle_gamma 90.00
_space_group_name_H-M_alt 'C 1 2/m 1'
_space_group_IT_number 12
loop_
_space_group_symop_operation_xyz
'x,y,z'
'-x,-y,-z'
'-x,y,-z'
'x,-y,z'
'x+1/2,y+1/2,z'
'-x+1/2,-y+1/2,-z'
'-x+1/2,y+1/2,-z'
'x+1/2,-y+1/2,z'
loop_
_atom_site_label
_atom_site_type_symbol
_atom_site_fract_x
_atom_site_fract_y
_atom_site_fract_z
Er1 Er 0.000 0.000 0.000
Er2 Er 0.148 0.000 0.647
In1 In 0.000 0.500 0.500
In2 In 0.143 0.500 0.142
Pd1 Pd 0.241 0.000 0.239
# volume: 22.8 Å³/atom
# theoretical density: 9.65 Mg/m³
# energy relative to the elements: -0.627 eV/atom

# 9
# Pu2AgHg | Alexandria | PBE | relaxed
data_Pu2AgHg
_chemical_formula_sum 'Pu6 Ag3 Hg3'
_cell_length_a 3.1463
_cell_length_b 3.1463
_cell_length_c 34.8514
_cell_angle_alpha 90.00
_cell_angle_beta 90.00
_cell_angle_gamma 120.00
_space_group_name_H-M_alt 'R -3 m'
_space_group_IT_number 166
_space_group_name_Hall '-R 3 2"'
loop_
_atom_site_label
_atom_site_type_symbol
_atom_site_fract_x
_atom_site_fract_y
_atom_site_fract_z
Pu1 Pu 0.0000 0.0000 0.0873
Ag1 Ag 0.0000 0.0000 0.0000
Hg1 Hg 0.0000 0.0000 0.5000
# volume: 24.9 Å³/atom
# theoretical density: 13.28 Mg/m³
# energy relative to the elements: 0.299 eV/atom

# 10
# CsYPbI6 | Alexandria | PBE | relaxed
data_CsYPbI6
_chemical_formula_sum 'Cs1 Y1 Pb1 I6'
_cell_length_a 8.2053
_cell_length_b 8.2053
_cell_length_c 8.4519
_cell_angle_alpha 90.00
_cell_angle_beta 90.00
_cell_angle_gamma 120.00
_space_group_name_H-M_alt 'P 3 1 2'
_space_group_IT_number 149
loop_
_space_group_symop_operation_xyz
'x,y,z'
'-y,x-y,z'
'-x+y,-x,z'
'-y,-x,-z'
'-x+y,y,-z'
'x,x-y,-z'
loop_
_atom_site_label
_atom_site_type_symbol
_atom_site_fract_x
_atom_site_fract_y
_atom_site_fract_z
Cs1 Cs 0.0000 0.0000 0.0000
Y1 Y 0.6667 0.3333 0.5000
Pb1 Pb 0.3333 0.6667 0.5000
I1 I 0.3834 0.0187 0.7136
# volume: 54.8 Å³/atom
# theoretical density: 4.01 Mg/m³
# E_form (uncorrected): -1.203 eV/atom

# 11
# LaPr2Th3Se6 | Alexandria | PBE | relaxed
data_LaPr2Th3Se6
_chemical_formula_sum 'La2 Pr4 Th6 Se12'
_cell_length_a 18.583
_cell_length_b 4.251
_cell_length_c 8.460
_cell_angle_alpha 90.00
_cell_angle_beta 104.45
_cell_angle_gamma 90.00
_space_group_name_H-M_alt 'C 1 2/m 1'
_space_group_IT_number 12
loop_
_space_group_symop_operation_xyz
'x,y,z'
'-x,-y,-z'
'-x,y,-z'
'x,-y,z'
'x+1/2,y+1/2,z'
'-x+1/2,-y+1/2,-z'
'-x+1/2,y+1/2,-z'
'x+1/2,-y+1/2,z'
loop_
_atom_site_label
_atom_site_type_symbol
_atom_site_fract_x
_atom_site_fract_y
_atom_site_fract_z
La1 La 0.000 0.000 0.000
Pr1 Pr 0.167 0.500 0.333
Th1 Th 0.000 0.000 0.500
Th2 Th 0.166 0.500 0.834
Se1 Se 0.000 0.500 0.253
Se2 Se 0.166 0.000 0.585
Se3 Se 0.168 0.000 0.083
# volume: 27.0 Å³/atom
# theoretical density: 8.16 Mg/m³
# E_form (uncorrected): -1.705 eV/atom

# 12
# RbCoNiAu2 | Alexandria | PBE | relaxed
data_RbCoNiAu2
_chemical_formula_sum 'Rb1 Co1 Ni1 Au2'
_cell_length_a 5.066
_cell_length_b 5.066
_cell_length_c 4.469
_cell_angle_alpha 90.00
_cell_angle_beta 90.00
_cell_angle_gamma 90.00
_space_group_name_H-M_alt 'P 4/m m m'
_space_group_IT_number 123
_space_group_name_Hall '-P 4 2'
loop_
_atom_site_label
_atom_site_type_symbol
_atom_site_fract_x
_atom_site_fract_y
_atom_site_fract_z
Rb1 Rb 0.000 0.000 0.000
Co1 Co 0.500 0.500 0.000
Ni1 Ni 0.500 0.500 0.500
Au1 Au 0.000 0.500 0.500
# volume: 22.9 Å³/atom
# theoretical density: 8.64 Mg/m³
# energy relative to the elements: 0.483 eV/atom

Which of these has the lowest theoretical density? CsYPbI6

Which formula does entry 8 have? Er3In3Pd2